Material: Gd
Method: DFT, PBE
State: relaxed

Properties
E (eV per atom): -4.64
Energy of formation (meV per atom): 18
Energy relative to the lowest polymorph listed for this composition (eV/f.u.): 0.018

Lattice parameters (Å, degrees): 3.5915 3.5915 8.5125 90.00 90.00 120.00
Space group R-3m (No. 166, hexagonal axes)
Inequivalent atoms, fractional coordinates:
Gd  0.0000  0.0000  0.0000